The following is a GGA-PBE calculation of a geometry-optimized LuScFeAu structure, from Alexandria via LeMat-Bulk.

It has space group F-43m (No. 216), with a = 6.715 Å, b = 6.715 Å, c = 6.715 Å, α = 90.00°, β = 90.00° and γ = 90.00°. The distinct sites, in fractional coordinates, are Lu at (0.000, 0.000, 0.000), Sc at (0.000, 0.000, 0.500), Fe at (0.250, 0.250, 0.750) and Au at (0.250, 0.250, 0.250).

The energy of formation from the pure elements is -0.362 eV/atom. Its raw total energy is -6.010 eV per atom.